Crystalline AcSi3IrOs at its relaxed geometry. Source: Alexandria via LeMat-Bulk, functional PBE.

Lattice parameters (Å, degrees): 6.0272 6.4908 7.0367 117.47 90.00 90.00
Sites, in units of the cell vectors:
Os: 0.7500 0.9623 0.9246
Ir: 0.2500 0.3942 0.7883
Si: 0.5000 0.2913 0.0000
Ac: 0.7500 0.2314 0.4628
Ac: 0.2500 0.7686 0.5372
Ir: 0.7500 0.6058 0.2117
Si: 0.5000 0.7087 0.0000
Si: 0.0000 0.7087 0.0000
Si: 0.2500 0.2154 0.4307
Si: 0.0000 0.2913 0.0000
Si: 0.7500 0.7846 0.5693
Os: 0.2500 0.0377 0.0754

Summary:
The calculation puts the uncorrected formation energy at -46 kJ per mole of atoms. The value obtained for the total energy is -7.222 eV per atom.

---

Crystalline AcP2Ir2 at its relaxed geometry. Source: Alexandria via LeMat-Bulk, functional PBE.

Lattice parameters (Å, degrees): 6.9164 6.5770 6.1997 73.30 56.86 58.28
Sites, in units of the cell vectors:
Ac: 0.8759 0.7481 0.2500
Ir: 0.7609 0.2469 0.4848
Ir: 0.4922 0.2470 0.0152
P: 0.5494 0.4013 0.2500
Ac: 0.1241 0.2519 0.7500
P: 0.1984 0.1032 0.2500
Ir: 0.5078 0.7530 0.9848
Ir: 0.2391 0.7531 0.5152
P: 0.8015 0.8968 0.7500
P: 0.4506 0.5987 0.7500

Summary:
The value obtained for the total energy is -7.402 eV per atom. Its energy of formation from the pure elements is -0.87 eV per atom.

---

Crystalline Ac6PIr3 at its relaxed geometry. Source: Alexandria via LeMat-Bulk, functional PBE.

Lattice parameters (Å, degrees): 7.3314 7.9643 11.3109 90.00 88.73 90.00
Sites, in units of the cell vectors:
Ac: 0.3317 0.8200 0.0778
Ac: 0.3213 0.8242 0.4121
Ac: 0.1600 0.0656 0.7460
Ac: 0.8317 0.6800 0.5778
P: 0.0000 0.0000 0.0000
Ir: 0.5410 0.8974 0.7660
Ac: 0.1787 0.3242 0.0879
Ac: 0.8400 0.9344 0.2540
Ac: 0.6683 0.1800 0.9222
Ir: 0.0000 0.0000 0.5000
Ir: 0.5000 0.5000 0.0000
Ac: 0.3400 0.5656 0.7540
P: 0.5000 0.5000 0.5000
Ac: 0.6787 0.1758 0.5879
Ac: 0.8213 0.6758 0.9121
Ir: 0.9590 0.3974 0.7340
Ir: 0.0410 0.6026 0.2660
Ir: 0.4590 0.1026 0.2340
Ac: 0.6600 0.4344 0.2460
Ac: 0.1683 0.3200 0.4222

Summary:
The value obtained for the total energy is -6.323 eV per atom. Its energy of formation from the pure elements is -0.66 eV per atom.

---

Crystalline Ac2PIr2 at its relaxed geometry. Source: Alexandria via LeMat-Bulk, functional PBE.

Lattice parameters (Å, degrees): 4.2287 6.1810 10.3147 79.29 78.17 70.00
Sites, in units of the cell vectors:
P: 0.0673 0.1911 0.6743
Ir: 0.1181 0.8972 0.8666
Ac: 0.2053 0.2370 0.3523
P: 0.9327 0.8089 0.3257
Ac: 0.4034 0.2886 0.9045
Ir: 0.4572 0.6823 0.4033
Ac: 0.5966 0.7114 0.0955
Ir: 0.8819 0.1028 0.1334
Ir: 0.5428 0.3177 0.5967
Ac: 0.7947 0.7630 0.6477

Summary:
The value obtained for the total energy is -7.081 eV per atom. Its energy of formation from the pure elements is -0.81 eV per atom.